# VCo3Se

Crystalline VCo3Se at its relaxed geometry (PBE-GGA, the Alexandria database).

For the uncorrected formation energy, the calculation gives 1.138 eV per atom.

It has space group Pm-3m (No. 221), with a = 4.261 Å, b = 4.261 Å, c = 4.261 Å, α = 90.00°, β = 90.00° and γ = 90.00°. Symmetry generates all atoms from V at (0.000, 0.000, 0.000), Co at (0.000, 0.000, 0.500) and Se at (0.500, 0.500, 0.500).